1.
Computed, not measured: a geometry-optimized Tb5ThSb6 structure at the PBE level of DFT.

## Properties
* crystal system: monoclinic

CIF file:
```
data_Tb5ThSb6
_chemical_formula_sum 'Tb10 Th2 Sb12'
_space_group_name_H-M_alt 'C 1 2/m 1'
_space_group_IT_number 12
_cell_length_a 7.660
_cell_length_b 13.261
_cell_length_c 7.663
_cell_angle_alpha 90.00
_cell_angle_beta 109.47
_cell_angle_gamma 90.00
loop_
_space_group_symop_operation_xyz
'x,y,z'
'-x,-y,-z'
'-x,y,-z'
'x,-y,z'
'x+1/2,y+1/2,z'
'-x+1/2,-y+1/2,-z'
'-x+1/2,y+1/2,-z'
'x+1/2,-y+1/2,z'
loop_
_atom_site_label
_atom_site_type_symbol
_atom_site_fract_x
_atom_site_fract_y
_atom_site_fract_z
Tb1 Tb 0.000 0.000 0.000
Tb2 Tb 0.000 0.167 0.500
Tb3 Tb 0.000 0.335 0.000
Th1 Th 0.000 0.500 0.500
Sb1 Sb 0.247 0.000 0.751
Sb2 Sb 0.247 0.168 0.247
```

=====

2.
Computed, not measured: a geometry-optimized TbTlSb structure at the PBE level of DFT.

## Properties
* crystal system: cubic

CIF file:
```
data_TbTlSb
_chemical_formula_sum 'Tb4 Tl4 Sb4'
_space_group_name_H-M_alt 'F -4 3 m'
_space_group_IT_number 216
_space_group_name_Hall 'F -4 2 3'
_cell_length_a 7.280
_cell_length_b 7.280
_cell_length_c 7.280
_cell_angle_alpha 90.00
_cell_angle_beta 90.00
_cell_angle_gamma 90.00
loop_
_atom_site_label
_atom_site_type_symbol
_atom_site_fract_x
_atom_site_fract_y
_atom_site_fract_z
Tb1 Tb 0.000 0.000 0.000
Tl1 Tl 0.250 0.250 0.750
Sb1 Sb 0.000 0.000 0.500
```

=====

3.
Computed, not measured: a geometry-optimized Tb2TmSb3 structure at the PBE level of DFT.

## Properties
* crystal system: trigonal

CIF file:
```
data_Tb2TmSb3
_chemical_formula_sum 'Tb2 Tm1 Sb3'
_space_group_name_H-M_alt 'P -3 m 1'
_space_group_IT_number 164
_space_group_name_Hall '-P 3 2"'
_cell_length_a 4.3766
_cell_length_b 4.3766
_cell_length_c 10.7134
_cell_angle_alpha 90.00
_cell_angle_beta 90.00
_cell_angle_gamma 120.00
loop_
_atom_site_label
_atom_site_type_symbol
_atom_site_fract_x
_atom_site_fract_y
_atom_site_fract_z
Tb1 Tb 0.3333 0.6667 0.1683
Tm1 Tm 0.0000 0.0000 0.5000
Sb1 Sb 0.0000 0.0000 0.0000
Sb2 Sb 0.3333 0.6667 0.6628
```

=====

4.
Computed, not measured: a geometry-optimized TbTm2Sb3 structure at the PBE level of DFT.

## Properties
* crystal system: trigonal

CIF file:
```
data_TbTm2Sb3
_chemical_formula_sum 'Tb1 Tm2 Sb3'
_space_group_name_H-M_alt 'P -3 m 1'
_space_group_IT_number 164
_space_group_name_Hall '-P 3 2"'
_cell_length_a 4.3556
_cell_length_b 4.3556
_cell_length_c 10.6615
_cell_angle_alpha 90.00
_cell_angle_beta 90.00
_cell_angle_gamma 120.00
loop_
_atom_site_label
_atom_site_type_symbol
_atom_site_fract_x
_atom_site_fract_y
_atom_site_fract_z
Tb1 Tb 0.0000 0.0000 0.0000
Tm1 Tm 0.3333 0.6667 0.6650
Sb1 Sb 0.0000 0.0000 0.5000
Sb2 Sb 0.3333 0.6667 0.1706
```

=====

5.
Computed, not measured: a geometry-optimized Tb3TmSb4 structure at the PBE level of DFT.

## Properties
* crystal system: cubic

CIF file:
```
data_Tb3TmSb4
_chemical_formula_sum 'Tb3 Tm1 Sb4'
_space_group_name_H-M_alt 'P m -3 m'
_space_group_IT_number 221
_space_group_name_Hall '-P 4 2 3'
_cell_length_a 6.197
_cell_length_b 6.197
_cell_length_c 6.197
_cell_angle_alpha 90.00
_cell_angle_beta 90.00
_cell_angle_gamma 90.00
loop_
_atom_site_label
_atom_site_type_symbol
_atom_site_fract_x
_atom_site_fract_y
_atom_site_fract_z
Tb1 Tb 0.000 0.000 0.500
Tm1 Tm 0.500 0.500 0.500
Sb1 Sb 0.000 0.000 0.000
Sb2 Sb 0.000 0.500 0.500
```

=====

6.
Computed, not measured: a geometry-optimized TbTmZr2Sb2 structure at the PBE level of DFT.

## Properties
* crystal system: tetragonal

CIF file:
```
data_TbTmZr2Sb2
_chemical_formula_sum 'Tb2 Tm2 Zr4 Sb4'
_space_group_name_H-M_alt 'I 4 m m'
_space_group_IT_number 107
_space_group_name_Hall 'I 4 -2'
_cell_length_a 4.264
_cell_length_b 4.264
_cell_length_c 16.569
_cell_angle_alpha 90.00
_cell_angle_beta 90.00
_cell_angle_gamma 90.00
loop_
_atom_site_label
_atom_site_type_symbol
_atom_site_fract_x
_atom_site_fract_y
_atom_site_fract_z
Tb1 Tb 0.000 0.000 0.000
Tm1 Tm 0.000 0.000 0.354
Zr1 Zr 0.000 0.500 0.178
Sb1 Sb 0.000 0.000 0.544
Sb2 Sb 0.000 0.000 0.812
```

=====

7.
Computed, not measured: a geometry-optimized Tb2YSb3 structure at the PBE level of DFT.

## Properties
* crystal system: trigonal

CIF file:
```
data_Tb2YSb3
_chemical_formula_sum 'Tb2 Y1 Sb3'
_space_group_name_H-M_alt 'P -3 m 1'
_space_group_IT_number 164
_space_group_name_Hall '-P 3 2"'
_cell_length_a 4.3963
_cell_length_b 4.3963
_cell_length_c 10.7748
_cell_angle_alpha 90.00
_cell_angle_beta 90.00
_cell_angle_gamma 120.00
loop_
_atom_site_label
_atom_site_type_symbol
_atom_site_fract_x
_atom_site_fract_y
_atom_site_fract_z
Tb1 Tb 0.3333 0.6667 0.1668
Y1 Y 0.0000 0.0000 0.5000
Sb1 Sb 0.0000 0.0000 0.0000
Sb2 Sb 0.3333 0.6667 0.6664
```

=====

8.
Computed, not measured: a geometry-optimized Tb3YSb4 structure at the PBE level of DFT.

## Properties
* crystal system: cubic

CIF file:
```
data_Tb3YSb4
_chemical_formula_sum 'Tb3 Y1 Sb4'
_space_group_name_H-M_alt 'P m -3 m'
_space_group_IT_number 221
_space_group_name_Hall '-P 4 2 3'
_cell_length_a 6.218
_cell_length_b 6.218
_cell_length_c 6.218
_cell_angle_alpha 90.00
_cell_angle_beta 90.00
_cell_angle_gamma 90.00
loop_
_atom_site_label
_atom_site_type_symbol
_atom_site_fract_x
_atom_site_fract_y
_atom_site_fract_z
Tb1 Tb 0.000 0.000 0.500
Y1 Y 0.500 0.500 0.500
Sb1 Sb 0.000 0.000 0.000
Sb2 Sb 0.000 0.500 0.500
```

=====

Asked for calculated volume across the records above, the calculation gives 30.58, 32.15, 29.62, 29.19, 29.75, 25.10, 30.06, 30.06 A^3/atom in order.
Asked for calculated density across the records above, the calculation gives 8.0, 8.4, 8.0, 8.2, 7.9, 8.3, 7.1, 7.3 g/cm³ in order.
Asked for total energy across the records above, the calculation gives -5.730, -3.770, -5.471, -5.417, -5.482, -6.528, -5.836, -5.758 eV/atom in order.